This record from Alexandria via LeMat-Bulk describes an optimized crystal structure of Li12Zn2In. The functional is GGA-PBE.

The structure in POSCAR format:
```
Li12Zn2In
1.0
-4.2694 3.4731 -1.3018
2.8341 -2.8298 -3.9931
-12.7940 -15.1159 1.6316
Li In Zn
24 2 4
direct
0.1300 0.3700 0.4966
0.2567 0.7567 0.3887
0.7864 0.7136 0.9266
0.2433 0.7433 0.6113
0.2451 0.7451 0.1502
0.5000 0.5000 0.3539
0.5000 0.5000 0.7785
0.8700 0.6300 0.4966
0.7451 0.2451 0.8498
0.0000 0.0000 0.6461
0.7567 0.2567 0.6113
0.2864 0.2136 0.0734
0.5000 0.5000 0.6461
0.2136 0.2864 0.9266
0.5000 0.5000 0.2215
0.0000 0.0000 0.2215
0.2549 0.7549 0.8498
0.7549 0.2549 0.1502
0.6300 0.8700 0.5034
0.0000 0.0000 0.7785
0.7433 0.2433 0.3887
0.7136 0.7864 0.0734
0.3700 0.1300 0.5034
0.0000 0.0000 0.3539
0.5000 0.0000 0.9716
0.0000 0.5000 0.0284
0.0000 0.5000 0.2747
0.0000 0.5000 0.7299
0.5000 0.0000 0.7253
0.5000 0.0000 0.2701
```

- crystal system = orthorhombic
- Fermi-level density of states (states/eV/cell) = 7.07
- V (Å³/atom) = 18.06
- DFT formation energy (eV/f.u.) = -0.690

=====

This record from Alexandria via LeMat-Bulk describes an optimized crystal structure of Nd3DyTl2. The functional is GGA-PBE.

The structure in POSCAR format:
```
Nd3DyTl2
1.0
-2.9391 3.9056 -1.3338
-3.6875 -3.7154 6.8692
7.8551 6.5121 1.7596
Nd Tl Dy
6 4 2
direct
0.9581 0.9162 0.6391
0.2887 0.5774 0.6207
0.3666 0.7331 0.3271
0.7113 0.4226 0.3793
0.0419 0.0838 0.3609
0.6334 0.2669 0.6729
0.7583 0.5166 0.1017
0.4888 0.9776 0.1389
0.2417 0.4834 0.8983
0.5112 0.0224 0.8611
0.8819 0.7639 0.9336
0.1181 0.2361 0.0664
```

- crystal system = monoclinic
- Fermi-level density of states (states/eV/cell) = 12.30
- E above lowest polymorph (meV/atom) = 90
- V (Å³/atom) = 31.66
- DFT formation energy (eV/f.u.) = -1.075

=====

This record from Alexandria via LeMat-Bulk describes an optimized crystal structure of Pm2RuBr. The functional is GGA-PBE.

The structure in POSCAR format:
```
Pm2RuBr
1.0
3.4791 -0.1906 0.4251
0.6807 3.4172 0.4251
-0.0826 -0.0641 8.4762
Ru Pm Br
1 2 1
direct
0.5000 0.5000 0.5000
0.9395 0.9395 0.7069
0.0605 0.0605 0.2931
0.5000 0.5000 0.0000
```

- crystal system = monoclinic
- Fermi-level density of states (states/eV/cell) = 1.76
- E above lowest polymorph (meV/atom) = 16
- V (Å³/atom) = 25.52
- ΔE_f (raw) (eV per formula unit) = -2.95

=====

| no. | size of the total moment (Bohr magnetons per cell) |
| --- | --- |
| 1 | 0.00 |
| 2 | 0.00 |
| 3 | 0.00 |